The following is a PBE calculation of SmTmSi2Pd after structural relaxation, from OQMD via LeMat-Bulk.

POSCAR file:
```
SmTmSi2Pd
1.0
5.239 -2.150 0.000
5.239 2.150 0.000
-4.945 0.000 9.007
Sm Tm Si Pd
2 2 4 2
Direct
0.003 0.003 0.322
0.997 0.997 0.678
0.815 0.815 0.894
0.185 0.185 0.106
0.636 0.636 0.564
0.520 0.520 0.891
0.364 0.364 0.436
0.480 0.480 0.109
0.276 0.276 0.648
0.724 0.724 0.352
```

Values from the calculation:
Total magnetic moment ... 0.77 Bohr magnetons per cell
Energy above the most stable polymorph in this dataset ... 0.0137 eV/atom
ρ ... 7.9 Mg/m³

The following is a PBE calculation of PbW2C after structural relaxation, from OQMD via LeMat-Bulk.

POSCAR file:
```
PbW2C
1.0
-3.514 1.544 4.007
-4.755 -2.746 0.799
7.370 -8.852 8.987
W Pb C
12 6 6
Direct
0.170 0.007 0.575
0.830 0.993 0.425
0.993 0.830 0.925
0.326 0.164 0.925
0.164 0.326 0.425
0.674 0.836 0.075
0.007 0.170 0.075
0.497 0.660 0.425
0.836 0.674 0.575
0.503 0.340 0.575
0.340 0.503 0.075
0.660 0.497 0.925
0.240 0.426 0.750
0.574 0.760 0.750
0.093 0.907 0.250
0.907 0.093 0.750
0.426 0.240 0.250
0.760 0.574 0.250
0.834 0.333 0.500
0.000 0.500 0.000
0.333 0.834 0.000
0.667 0.166 0.000
0.500 0.000 0.500
0.166 0.667 0.500
```

Values from the calculation:
Total magnetic moment ... 0.00 Bohr magnetons per cell
Energy above the most stable polymorph in this dataset ... 0.0000 eV/atom
ρ ... 15.1 Mg/m³

The following is a PBE calculation of SrZnHg2 after structural relaxation, from OQMD via LeMat-Bulk.

POSCAR file:
```
SrZnHg2
1.0
0.000 3.706 3.706
3.706 0.000 3.706
3.706 3.706 0.000
Hg Zn Sr
2 1 1
Direct
0.250 0.250 0.250
0.000 0.000 0.000
0.500 0.500 0.500
0.750 0.750 0.750
```

Values from the calculation:
ρ ... 9.0 Mg/m³

The following is a PBE calculation of Zr2Ta after structural relaxation, from OQMD via LeMat-Bulk.

POSCAR file:
```
Zr2Ta
1.0
6.126 -9.833 -9.080
8.063 0.577 -2.741
1.490 -2.610 3.832
Zr Ta
16 8
Direct
0.659 0.668 0.000
0.564 0.112 0.000
0.709 0.828 0.500
0.291 0.923 0.500
0.959 0.582 0.500
0.485 0.533 0.000
0.155 0.205 0.000
0.903 0.438 0.000
0.793 0.391 0.500
0.065 0.618 0.000
0.235 0.779 0.000
0.040 0.156 0.500
0.630 0.249 0.500
0.536 0.693 0.500
0.129 0.743 0.500
0.402 0.970 0.000
0.446 0.120 0.500
0.975 0.027 0.000
0.819 0.865 0.000
0.314 0.380 0.000
0.748 0.241 0.000
0.881 0.982 0.500
0.220 0.334 0.500
0.376 0.496 0.500
```

Values from the calculation:
Energy relative to the elements ... 0.114 eV per atom
Total magnetic moment ... 0.04 Bohr magnetons per cell
ρ ... 9.4 Mg/m³

The following is a PBE calculation of Sr2ErS3 after structural relaxation, from OQMD via LeMat-Bulk.

POSCAR file:
```
Sr2ErS3
1.0
4.086 0.000 0.000
-2.043 3.538 0.000
0.000 0.000 10.221
Er S Sr
1 3 2
Direct
0.000 0.000 0.500
0.333 0.667 0.647
0.000 0.000 0.000
0.667 0.333 0.353
0.667 0.333 0.827
0.333 0.667 0.173
```

Values from the calculation:
Total magnetic moment ... 0.02 Bohr magnetons per cell
ρ ... 4.9 Mg/m³

The following is a PBE calculation of GdAl2Ga after structural relaxation, from OQMD via LeMat-Bulk.

POSCAR file:
```
GdAl2Ga
1.0
4.557 0.000 0.000
0.000 3.185 5.477
0.000 -3.185 5.477
Al Gd Ga
4 2 2
Direct
0.000 0.142 0.709
0.000 0.709 0.142
0.500 0.857 0.857
0.000 0.144 0.144
0.500 0.334 0.334
0.000 0.665 0.665
0.500 0.855 0.293
0.500 0.293 0.855
```

Values from the calculation:
Total magnetic moment ... 0.00 Bohr magnetons per cell
ρ ... 5.9 Mg/m³

The following is a PBE calculation of LuSiIr after structural relaxation, from OQMD via LeMat-Bulk.

POSCAR file:
```
LuSiIr
1.0
4.629 0.000 0.000
-2.314 4.009 0.000
0.000 0.000 5.636
Si Ir Lu
2 2 2
Direct
0.333 0.667 0.250
0.667 0.333 0.750
0.000 0.000 0.000
0.000 0.000 0.500
0.333 0.667 0.750
0.667 0.333 0.250
```

Values from the calculation:
Total magnetic moment ... 0.00 Bohr magnetons per cell
ρ ... 12.6 Mg/m³

The following is a PBE calculation of Hf6ThU2 after structural relaxation, from OQMD via LeMat-Bulk.

POSCAR file:
```
Hf6ThU2
1.0
-0.643 6.022 6.444
-7.012 -1.813 -5.073
-0.858 -2.203 1.973
Hf Th U
6 1 2
Direct
0.000 0.334 0.000
0.653 0.000 0.500
0.347 0.347 0.500
0.334 0.000 0.000
0.000 0.653 0.500
0.666 0.666 0.000
0.000 0.000 0.500
0.333 0.667 0.000
0.667 0.333 0.000
```

Values from the calculation:
Energy relative to the elements ... 0.228 eV per atom
Total magnetic moment ... 5.00 Bohr magnetons per cell
ρ ... 14.2 Mg/m³

The following is a PBE calculation of Y2Pt2O5 after structural relaxation, from OQMD via LeMat-Bulk.

POSCAR file:
```
Y2Pt2O5
1.0
-5.594 -3.924 -1.079
2.118 -2.318 -2.550
1.085 -2.393 3.076
O Y Pt
5 2 2
Direct
0.239 0.000 0.500
0.239 0.500 0.000
0.761 0.500 0.000
0.761 0.000 0.500
0.500 0.500 0.500
0.000 0.000 0.000
0.500 0.000 0.000
0.192 0.500 0.500
0.808 0.500 0.500
```

Values from the calculation:
Total magnetic moment ... 0.01 Bohr magnetons per cell
Energy above the most stable polymorph in this dataset ... 0.0000 eV/atom
ρ ... 9.5 Mg/m³

The following is a PBE calculation of Tb2GdSn4Au4 after structural relaxation, from OQMD via LeMat-Bulk.

POSCAR file:
```
Tb2GdSn4Au4
1.0
-2.286 3.640 7.758
2.286 -3.640 7.758
2.286 3.640 -7.758
Sn Tb Au Gd
4 2 4 1
Direct
0.214 0.214 0.000
0.697 0.500 0.197
0.786 0.786 0.000
0.303 0.500 0.803
0.629 0.129 0.500
0.371 0.871 0.500
0.034 0.331 0.703
0.966 0.669 0.297
0.372 0.669 0.703
0.628 0.331 0.297
0.000 0.000 0.000
```

Values from the calculation:
Total magnetic moment ... 0.00 Bohr magnetons per cell
ρ ... 11.2 Mg/m³

The following is a PBE calculation of LiAg2Pd after structural relaxation, from OQMD via LeMat-Bulk.

POSCAR file:
```
LiAg2Pd
1.0
4.072 0.137 1.943
0.386 -0.504 4.469
1.818 -3.766 1.698
Ag Li Pd
2 1 1
Direct
0.000 0.000 0.000
0.750 0.750 0.750
0.500 0.500 0.500
0.250 0.250 0.250
```

Values from the calculation:
ρ ... 8.4 Mg/m³

The following is a PBE calculation of Rb3NaAs2Pd2 after structural relaxation, from OQMD via LeMat-Bulk.

POSCAR file:
```
Rb3NaAs2Pd2
1.0
6.397 0.000 0.000
0.000 5.896 0.000
-1.858 0.000 6.332
Na Pd As Rb
1 2 2 3
Direct
0.853 0.000 0.541
0.012 0.753 0.966
0.012 0.247 0.966
0.745 0.500 0.741
0.192 0.000 0.259
0.172 0.500 0.511
0.475 0.000 0.831
0.539 0.500 0.185
```

Values from the calculation:
ρ ... 4.5 Mg/m³

The evaluated electronic total energy for the records listed, in turn: -5.9337 -9.2389 -1.1427 -9.5344 -5.4363 -4.2774 -6.6154 -9.7425 -7.0710 -4.5663 -3.3803 -3.3375 eV/atom.